# 1
# BaTlCdSn2

BaTlCdSn2 after structural relaxation (GGA-PBE, Alexandria via LeMat-Bulk).

Symmetry ... I-4m2
E ... -2.9502 eV/atom
Energy relative to the elements ... -7.1 kcal/mol of atoms

Lattice parameters (Å, degrees): 7.0715 7.0715 7.0715 136.93 136.93 62.55
Fractional coordinates of all 5 atoms:
Ba (0.0000, 0.0000, 0.0000)
Tl (0.7500, 0.2500, 0.5000)
Cd (0.2500, 0.7500, 0.5000)
Sn (0.3800, 0.3800, 0.0000)
Sn (0.6200, 0.6200, 0.0000)

# 2
# Ba2Tl3CdSn4

Ba2Tl3CdSn4 after structural relaxation (GGA-PBE, Alexandria via LeMat-Bulk).

Symmetry ... P-4m2
E ... -3.0528 eV/atom
Energy relative to the elements ... -6.1 kcal/mol of atoms

Lattice parameters (Å, degrees): 4.9544 4.9544 13.5599 90.00 90.00 90.00
Fractional coordinates of all 10 atoms:
Ba (0.0000, 0.5000, 0.2401)
Ba (0.5000, 0.0000, 0.7599)
Tl (0.0000, 0.0000, 0.0000)
Tl (0.0000, 0.5000, 0.6422)
Tl (0.5000, 0.0000, 0.3578)
Cd (0.5000, 0.5000, 0.0000)
Sn (0.0000, 0.0000, 0.5000)
Sn (0.0000, 0.5000, 0.8674)
Sn (0.5000, 0.0000, 0.1326)
Sn (0.5000, 0.5000, 0.5000)

# 3
# Ba2Tl3Cd4Sn

Ba2Tl3Cd4Sn after structural relaxation (GGA-PBE, Alexandria via LeMat-Bulk).

Symmetry ... P-4m2
E ... -2.1462 eV/atom
Energy relative to the elements ... -6.6 kcal/mol of atoms

Lattice parameters (Å, degrees): 5.0557 5.0557 12.1991 90.00 90.00 90.00
Fractional coordinates of all 10 atoms:
Ba (0.0000, 0.5000, 0.2491)
Ba (0.5000, 0.0000, 0.7509)
Tl (0.0000, 0.0000, 0.0000)
Tl (0.0000, 0.5000, 0.6319)
Tl (0.5000, 0.0000, 0.3681)
Cd (0.0000, 0.0000, 0.5000)
Cd (0.0000, 0.5000, 0.8683)
Cd (0.5000, 0.0000, 0.1317)
Cd (0.5000, 0.5000, 0.5000)
Sn (0.5000, 0.5000, 0.0000)

# 4
# Ba2Tl4Cd3Sn

Ba2Tl4Cd3Sn after structural relaxation (GGA-PBE, Alexandria via LeMat-Bulk).

Symmetry ... P-4m2
E ... -2.2717 eV/atom
Energy relative to the elements ... -6.1 kcal/mol of atoms

Lattice parameters (Å, degrees): 5.0722 5.0722 12.4290 90.00 90.00 90.00
Fractional coordinates of all 10 atoms:
Ba (0.0000, 0.5000, 0.2448)
Ba (0.5000, 0.0000, 0.7552)
Tl (0.0000, 0.0000, 0.5000)
Tl (0.0000, 0.5000, 0.8625)
Tl (0.5000, 0.0000, 0.1375)
Tl (0.5000, 0.5000, 0.5000)
Cd (0.0000, 0.0000, 0.0000)
Cd (0.0000, 0.5000, 0.6313)
Cd (0.5000, 0.0000, 0.3687)
Sn (0.5000, 0.5000, 0.0000)

# 5
# Ba2TmCd3Sn4

Ba2TmCd3Sn4 after structural relaxation (GGA-PBE, Alexandria via LeMat-Bulk).

Symmetry ... P-4m2
E ... -3.1824 eV/atom
Energy relative to the elements ... -11.0 kcal/mol of atoms

Lattice parameters (Å, degrees): 4.9755 4.9755 12.5122 90.00 90.00 90.00
Fractional coordinates of all 10 atoms:
Ba (0.0000, 0.5000, 0.2374)
Ba (0.5000, 0.0000, 0.7626)
Tm (0.0000, 0.0000, 0.5000)
Cd (0.0000, 0.5000, 0.8683)
Cd (0.5000, 0.0000, 0.1317)
Cd (0.5000, 0.5000, 0.5000)
Sn (0.0000, 0.0000, 0.0000)
Sn (0.0000, 0.5000, 0.6390)
Sn (0.5000, 0.0000, 0.3610)
Sn (0.5000, 0.5000, 0.0000)

# 6
# BaYCdSn

BaYCdSn after structural relaxation (GGA-PBE, Alexandria via LeMat-Bulk).

Symmetry ... F-43m
E ... -3.7165 eV/atom
Energy relative to the elements ... -9.0 kcal/mol of atoms

Lattice parameters (Å, degrees): 5.6434 5.6434 5.6434 60.00 60.00 60.00
Fractional coordinates of all 4 atoms:
Ba (0.0000, 0.0000, 0.0000)
Y (0.5000, 0.5000, 0.5000)
Cd (0.7500, 0.7500, 0.7500)
Sn (0.2500, 0.2500, 0.2500)

# 7
# Ba2Zn3Cd4Sn

Ba2Zn3Cd4Sn after structural relaxation (GGA-PBE, Alexandria via LeMat-Bulk).

Symmetry ... P-4m2
E ... -1.7866 eV/atom
Energy relative to the elements ... -5.8 kcal/mol of atoms

Lattice parameters (Å, degrees): 4.7180 4.7180 12.0735 90.00 90.00 90.00
Fractional coordinates of all 10 atoms:
Ba (0.0000, 0.5000, 0.2478)
Ba (0.5000, 0.0000, 0.7522)
Zn (0.0000, 0.5000, 0.8683)
Zn (0.5000, 0.0000, 0.1317)
Zn (0.5000, 0.5000, 0.5000)
Cd (0.0000, 0.0000, 0.0000)
Cd (0.0000, 0.5000, 0.6405)
Cd (0.5000, 0.0000, 0.3595)
Cd (0.5000, 0.5000, 0.0000)
Sn (0.0000, 0.0000, 0.5000)

# 8
# Ba2ZnCd3Sn4

Ba2ZnCd3Sn4 after structural relaxation (GGA-PBE, Alexandria via LeMat-Bulk).

Symmetry ... P-4m2
E ... -2.7857 eV/atom
Energy relative to the elements ... -9.2 kcal/mol of atoms

Lattice parameters (Å, degrees): 4.9556 4.9556 11.9638 90.00 90.00 90.00
Fractional coordinates of all 10 atoms:
Ba (0.0000, 0.5000, 0.2389)
Ba (0.5000, 0.0000, 0.7611)
Zn (0.5000, 0.5000, 0.0000)
Cd (0.0000, 0.0000, 0.0000)
Cd (0.0000, 0.5000, 0.6387)
Cd (0.5000, 0.0000, 0.3613)
Sn (0.0000, 0.0000, 0.5000)
Sn (0.0000, 0.5000, 0.8756)
Sn (0.5000, 0.0000, 0.1244)
Sn (0.5000, 0.5000, 0.5000)

It is found that the calculated volume values, taken in the order of the records, are 32.58; 33.28; 31.18; 31.98; 30.97; 31.77; 26.88; 29.38 A^3/atom.